PBE CsTmBi2, relaxed; N(E_F) = 10.17 states/eV per cell; magnetization = 0.00 μB/f.u.; SG = No. 166; crystal system = trigonal; density = 6.9 Mg/m³; ΔE to the lowest computed polymorph = 115.4 meV per atom; energy of formation = -352 meV/atom
1.0
4.849 0.000 0.000
-2.424 4.199 0.000
0.000 0.000 25.539
Cs Tm Bi
3 3 6
Direct
0.000 0.000 0.000 Cs
0.333 0.667 0.667 Cs
0.667 0.333 0.333 Cs
0.000 0.000 0.500 Tm
0.333 0.667 0.167 Tm
0.667 0.333 0.833 Tm
0.000 0.000 0.222 Bi
0.000 0.000 0.778 Bi
0.333 0.667 0.445 Bi
0.333 0.667 0.889 Bi
0.667 0.333 0.111 Bi
0.667 0.333 0.555 Bi